1.
The following is a PBE calculation of ZrCu2Ir after structural relaxation, from the Alexandria database.

Crystal system ... trigonal
DOS(E_F) ... 1.20 states/eV/atom
Theoretical density ... 11.2 g cm⁻³
Energy above the lowest structure with this stoichiometry ... 578 meV per atom
Calculated formation energy ... 0.19 eV/atom
E_tot ... -74.555 eV for the cell shown

Cell: 2.7773 2.7773 27.4344 Å, 90.00 90.00 120.00°
Space group R-3m (No. 166, hexagonal axes)
Asymmetric unit:
Zr: 0.0000 0.0000 0.0000 x3
Cu: 0.0000 0.0000 0.2445 x6
Ir: 0.0000 0.0000 0.5000 x3

2.
The following is a PBE calculation of PrLuPt2 after structural relaxation, from the Alexandria database.

Crystal system ... trigonal
DOS(E_F) ... 0.55 states/eV/atom
Theoretical density ... 12.0 g cm⁻³
Energy above the lowest structure with this stoichiometry ... 44 meV per atom
Calculated formation energy ... -1.10 eV/atom
E_tot ... -77.374 eV for the cell shown

Cell: 4.1448 4.1448 19.7737 Å, 90.00 90.00 120.00°
Space group R-3m (No. 166, hexagonal axes)
Asymmetric unit:
Pr: 0.0000 0.0000 0.0000 x3
Lu: 0.0000 0.0000 0.5000 x3
Pt: 0.0000 0.0000 0.2418 x6

3.
The following is a PBE calculation of Ac3GeP2Pt9 after structural relaxation, from the Alexandria database.

Crystal system ... trigonal
DOS(E_F) ... 0.38 states/eV/atom
Theoretical density ... 13.3 g cm⁻³
Calculated formation energy ... -0.79 eV/atom
E_tot ... -94.000 eV for the cell shown

Cell: 6.5345 6.5345 8.6569 Å, 90.00 90.00 120.00°
Space group P-3m1 (No. 164)
Asymmetric unit:
Ac: 0.0000 0.0000 0.0000 x1
Ac: 0.3333 0.6667 0.6487 x2
Ge: 0.0000 0.0000 0.5000 x1
P: 0.3333 0.6667 0.1747 x2
Pt: 0.0000 0.5000 0.0000 x3
Pt: 0.1520 0.3039 0.2915 x6

Question: calculated formation energy of number 3 (Ac3GeP2Pt9)?
Answer: -0.79 eV/atom

Repeat the first record exactly.
The following is a PBE calculation of ZrCu2Ir after structural relaxation, from the Alexandria database.

Crystal system ... trigonal
DOS(E_F) ... 1.20 states/eV/atom
Theoretical density ... 11.2 g cm⁻³
Energy above the lowest structure with this stoichiometry ... 578 meV per atom
Calculated formation energy ... 0.19 eV/atom
E_tot ... -74.555 eV for the cell shown

Cell: 2.7773 2.7773 27.4344 Å, 90.00 90.00 120.00°
Space group R-3m (No. 166, hexagonal axes)
Asymmetric unit:
Zr: 0.0000 0.0000 0.0000 x3
Cu: 0.0000 0.0000 0.2445 x6
Ir: 0.0000 0.0000 0.5000 x3